(1)
Material: NdDyPdRu
Method: DFT, PBE
State: relaxed

N(E_F)   1.7 states/eV/f.u.
Magnetic moment   0.000 μB per cell

a = 3.4699 Å, b = 3.4699 Å, c = 7.1932 Å
α = 90.00°, β = 90.00°, γ = 90.00°
Space group P4mm (No. 99)
Asymmetric unit:
Nd  0.0000  0.0000  0.0000 (multiplicity 1)
Dy  0.0000  0.0000  0.4783 (multiplicity 1)
Pd  0.5000  0.5000  0.7183 (multiplicity 1)
Ru  0.5000  0.5000  0.2489 (multiplicity 1)


(2)
Material: NdDyPdRu
Method: DFT, PBE
State: relaxed

N(E_F)   2.9 states/eV/f.u.
Magnetic moment   0.000 μB per cell

a = 7.0174 Å, b = 7.0174 Å, c = 7.0174 Å
α = 90.00°, β = 90.00°, γ = 90.00°
Space group F-43m (No. 216)
Asymmetric unit:
Nd  0.0000  0.0000  0.0000 (multiplicity 4)
Dy  0.0000  0.0000  0.5000 (multiplicity 4)
Pd  0.2500  0.2500  0.7500 (multiplicity 4)
Ru  0.2500  0.2500  0.2500 (multiplicity 4)


Stability check: which of them is least stable? (2).


(1)
Material: NdDyZnPd
Method: DFT, PBE
State: relaxed

N(E_F)   2.9 states/eV/f.u.
Magnetic moment   0.000 μB per cell

a = 7.2006 Å, b = 7.2006 Å, c = 7.2006 Å
α = 90.00°, β = 90.00°, γ = 90.00°
Space group F-43m (No. 216)
Asymmetric unit:
Nd  0.0000  0.0000  0.0000 (multiplicity 4)
Dy  0.0000  0.0000  0.5000 (multiplicity 4)
Zn  0.2500  0.2500  0.2500 (multiplicity 4)
Pd  0.2500  0.2500  0.7500 (multiplicity 4)


(2)
Material: NdDyZnPd
Method: DFT, PBE
State: relaxed

N(E_F)   3.6 states/eV/f.u.
Magnetic moment   0.000 μB per cell

a = 3.6154 Å, b = 3.6154 Å, c = 7.1160 Å
α = 90.00°, β = 90.00°, γ = 90.00°
Space group P4mm (No. 99)
Asymmetric unit:
Nd  0.0000  0.0000  0.0000 (multiplicity 1)
Dy  0.0000  0.0000  0.4895 (multiplicity 1)
Zn  0.5000  0.5000  0.7299 (multiplicity 1)
Pd  0.5000  0.5000  0.2705 (multiplicity 1)


Stability check: which of them is least stable? (1).


(1)
Material: Pm4Nd2Dy3
Method: DFT, PBE
State: relaxed

N(E_F)   17.0 states/eV/f.u.
Magnetic moment   0.001 μB per cell

a = 3.6334 Å, b = 3.6334 Å, c = 26.9129 Å
α = 90.00°, β = 90.00°, γ = 120.00°
Space group P3m1 (No. 156)
Asymmetric unit:
Pm  0.0000  0.0000  0.0000 (multiplicity 1)
Pm  0.0000  0.0000  0.2136 (multiplicity 1)
Pm  0.3333  0.6667  0.3248 (multiplicity 1)
Pm  0.3333  0.6667  0.5401 (multiplicity 1)
Nd  0.0000  0.0000  0.6525 (multiplicity 1)
Nd  0.0000  0.0000  0.8675 (multiplicity 1)
Dy  0.0000  0.0000  0.4326 (multiplicity 1)
Dy  0.3333  0.6667  0.1048 (multiplicity 1)
Dy  0.3333  0.6667  0.7620 (multiplicity 1)


(2)
Material: Pm4Nd2Dy3
Method: DFT, PBE
State: relaxed

N(E_F)   14.0 states/eV/f.u.
Magnetic moment   0.000 μB per cell

a = 19.9444 Å, b = 3.5572 Å, c = 8.7433 Å
α = 90.00°, β = 99.09°, γ = 90.00°
Space group C2/m (No. 12)
Asymmetric unit:
Pm  0.0486  0.0000  0.1850 (multiplicity 4)
Pm  0.2202  0.0000  0.1495 (multiplicity 4)
Nd  0.1668  0.0000  0.5430 (multiplicity 4)
Dy  0.0000  0.5000  0.5000 (multiplicity 2)
Dy  0.1060  0.5000  0.8607 (multiplicity 4)


Stability check: which of them is least stable? (2).


(1)
Material: PmNd3Dy4
Method: DFT, PBE
State: relaxed

N(E_F)   14.6 states/eV/f.u.
Magnetic moment   0.002 μB per cell

a = 11.5963 Å, b = 7.3284 Å, c = 6.3203 Å
α = 90.00°, β = 90.00°, γ = 90.00°
Space group Pmn2_1 (No. 31)
Asymmetric unit:
Pm  0.0000  0.1280  0.0000 (multiplicity 2)
Nd  0.0000  0.8725  0.5002 (multiplicity 2)
Nd  0.2500  0.1275  0.3347 (multiplicity 4)
Dy  0.0000  0.3783  0.5011 (multiplicity 2)
Dy  0.0000  0.6218  0.0010 (multiplicity 2)
Dy  0.2497  0.3783  0.8335 (multiplicity 4)


(2)
Material: PmNd3Dy4
Method: DFT, PBE
State: relaxed

N(E_F)   12.1 states/eV/f.u.
Magnetic moment   0.000 μB per cell

a = 10.2108 Å, b = 7.2136 Å, c = 7.2155 Å
α = 90.00°, β = 90.00°, γ = 90.00°
Space group Pmna (No. 53)
Asymmetric unit:
Pm  0.0000  0.0000  0.0000 (multiplicity 2)
Nd  0.0000  0.5000  0.5000 (multiplicity 2)
Nd  0.2500  0.2496  0.2500 (multiplicity 4)
Dy  0.0000  0.0000  0.5000 (multiplicity 2)
Dy  0.0000  0.5000  0.0000 (multiplicity 2)
Dy  0.2500  0.2497  0.7500 (multiplicity 4)


Stability check: which of them is least stable? (1).


(1)
Material: PmNdDy
Method: DFT, PBE
State: relaxed

N(E_F)   3.8 states/eV/f.u.
Magnetic moment   0.000 μB per cell

a = 3.6303 Å, b = 5.1188 Å, c = 10.8743 Å
α = 90.00°, β = 90.00°, γ = 90.00°
Space group Imm2 (No. 44)
Asymmetric unit:
Pm  0.0000  0.0000  0.0000 (multiplicity 2)
Nd  0.0000  0.0000  0.6677 (multiplicity 2)
Dy  0.0000  0.0000  0.3343 (multiplicity 2)


(2)
Material: PmNdDy
Method: DFT, PBE
State: relaxed

N(E_F)   4.6 states/eV/f.u.
Magnetic moment   0.000 μB per cell

a = 5.7395 Å, b = 5.7395 Å, c = 3.5276 Å
α = 90.00°, β = 90.00°, γ = 120.00°
Space group P-6m2 (No. 187)
Asymmetric unit:
Pm  0.0000  0.0000  0.0000 (multiplicity 1)
Nd  0.6667  0.3333  0.5000 (multiplicity 1)
Dy  0.3333  0.6667  0.0000 (multiplicity 1)


Stability check: which of them is least stable? (2).


(1)
Material: Pm4Nd4Dy3
Method: DFT, PBE
State: relaxed

N(E_F)   17.4 states/eV/f.u.
Magnetic moment   0.000 μB per cell

a = 3.6618 Å, b = 9.5600 Å, c = 21.9031 Å
α = 90.00°, β = 90.00°, γ = 90.00°
Space group Immm (No. 71)
Asymmetric unit:
Pm  0.0000  0.0000  0.2386 (multiplicity 4)
Pm  0.0000  0.1852  0.0000 (multiplicity 4)
Nd  0.0000  0.3245  0.1434 (multiplicity 8)
Dy  0.0000  0.0000  0.5000 (multiplicity 2)
Dy  0.0000  0.5000  0.3934 (multiplicity 4)


(2)
Material: Pm4Nd4Dy3
Method: DFT, PBE
State: relaxed

N(E_F)   17.8 states/eV/f.u.
Magnetic moment   0.000 μB per cell

a = 3.5741 Å, b = 5.7358 Å, c = 18.4474 Å
α = 81.14°, β = 84.45°, γ = 90.00°
Space group P-1 (No. 2)
Asymmetric unit:
Pm  0.0904  0.0917  0.3191 (multiplicity 2)
Pm  0.2328  0.7328  0.0346 (multiplicity 2)
Nd  0.0458  0.5475  0.4081 (multiplicity 2)
Nd  0.1800  0.1804  0.1399 (multiplicity 2)
Dy  0.3641  0.3635  0.7722 (multiplicity 2)
Dy  0.5000  0.0000  0.5000 (multiplicity 1)


Stability check: which of them is least stable? (1).